Below is an optimized crystal structure of HfOF2, with properties calculated at the PBE level.

The structure belongs to space group I-42d (No. 122); the cell edges are 3.304, 3.304 and 15.119 Å and the angles 90.00°, 90.00° and 90.00°. The inequivalent atoms are Hf at (0.000, 0.000, 0.000), O at (0.000, 0.000, 0.500) and F at (0.206, 0.250, 0.125).

The calculated total energy comes out at -7.358 eV per atom. The density comes out at 9.4 Mg/m³. The calculation puts the uncorrected formation energy at -2.69 eV/atom. For the density of states at the Fermi level, the calculation gives 0.13 states/eV/atom.